Here is crystalline Sm3Y5Bi8 at its relaxed geometry from Alexandria via LeMat-Bulk. Energies are from GGA-PBE.

abc: 9.027 9.027 9.023
angles: 59.99 59.99 60.00
Fractional positions:
Bi: 0.750 0.253 0.247
Bi: 0.747 0.250 0.753
Bi: 0.252 0.252 0.245
Bi: 0.253 0.750 0.247
Bi: 0.748 0.748 0.755
Bi: 0.250 0.747 0.753
Bi: 0.750 0.750 0.247
Bi: 0.250 0.250 0.753
Sm: 0.500 0.000 0.500
Sm: 0.000 0.000 0.500
Sm: 0.000 0.500 0.500
Y: 0.000 0.000 0.000
Y: 0.500 0.500 0.000
Y: 0.500 0.000 0.000
Y: 0.000 0.500 0.000
Y: 0.500 0.500 0.500

Calculated values
Volume, A^3/atom: 32.48
Formation energy from the elements, eV/atom: -0.9065
Space-group type: R-3m (166)
Fermi-level density of states, states/eV/atom: 0.180
Density, g cm⁻³: 8.203

=====

Here is crystalline SmY2Bi at its relaxed geometry from Alexandria via LeMat-Bulk. Energies are from GGA-PBE.

abc: 3.578 3.578 12.245
angles: 81.60 81.60 60.00
Fractional positions:
Y: 0.087 0.087 0.739
Y: 0.913 0.913 0.261
Bi: 0.000 0.000 0.000
Sm: 0.500 0.500 0.500

Calculated values
Volume, A^3/atom: 33.46
Formation energy from the elements, eV/atom: 0.0181
Space-group type: R-3m (166)
Fermi-level density of states, states/eV/atom: 0.937
Density, g cm⁻³: 6.665

=====

Here is crystalline SmY2Bi at its relaxed geometry from Alexandria via LeMat-Bulk. Energies are from GGA-PBE.

abc: 4.068 4.068 9.890
angles: 78.13 78.13 60.00
Last column: magnetic moment on the atom in μB.
Fractional positions:
Y: 0.069 0.069 0.792  0.12
Y: 0.264 0.264 0.208  0.01
Sm: 0.500 0.500 0.499  0.12
Bi: 0.666 0.666 0.001  0.00

Calculated values
Volume, A^3/atom: 34.43
Formation energy from the elements, eV/atom: -0.2016
Space-group type: R3m (160)
Fermi-level density of states, states/eV/atom: 1.202
Density, g cm⁻³: 6.477

=====

Here is crystalline SmY2Bi at its relaxed geometry from Alexandria via LeMat-Bulk. Energies are from GGA-PBE.

abc: 4.836 4.939 4.939
angles: 90.00 90.00 90.00
Fractional positions:
Y: 0.000 0.500 0.000
Y: 0.000 0.000 0.500
Sm: 0.500 0.500 0.500
Bi: 0.500 0.000 0.000

Calculated values
Volume, A^3/atom: 29.49
Formation energy from the elements, eV/atom: -0.3627
Space-group type: P4/mmm (123)
Fermi-level density of states, states/eV/atom: 1.314
Density, g cm⁻³: 7.563

=====

Here is crystalline SmY2Bi at its relaxed geometry from Alexandria via LeMat-Bulk. Energies are from GGA-PBE.

abc: 4.053 4.053 7.484
angles: 90.00 90.00 90.00
Fractional positions:
Bi: 0.500 0.500 0.500
Y: 0.000 0.000 0.274
Y: 0.000 0.000 0.726
Sm: 0.500 0.500 0.000

Calculated values
Volume, A^3/atom: 30.74
Formation energy from the elements, eV/atom: -0.3619
Space-group type: P4/mmm (123)
Fermi-level density of states, states/eV/atom: 1.152
Density, g cm⁻³: 7.254

=====

Here is crystalline Sm5Y5Bi6 at its relaxed geometry from Alexandria via LeMat-Bulk. Energies are from GGA-PBE.

abc: 6.444 9.326 9.326
angles: 120.26 90.00 90.00
Last column: magnetic moment on the atom in μB.
Fractional positions:
Y: 0.000 0.755 0.001  0.02
Y: 0.500 0.246 0.000  0.02
Y: 0.000 0.001 0.755  0.02
Y: 0.500 0.758 0.758  0.02
Y: 0.500 0.000 0.246  0.02
Sm: 0.250 0.665 0.334  0.12
Sm: 0.750 0.665 0.334  0.12
Sm: 0.000 0.243 0.243  0.02
Sm: 0.750 0.334 0.665  0.12
Sm: 0.250 0.334 0.665  0.12
Bi: 0.500 0.385 0.385  0.00
Bi: 0.000 0.998 0.386  0.00
Bi: 0.500 0.615 0.000  0.00
Bi: 0.500 0.000 0.615  0.00
Bi: 0.000 0.386 0.998  0.00
Bi: 0.000 0.617 0.617  0.00

Calculated values
Volume, A^3/atom: 30.25
Formation energy from the elements, eV/atom: -0.7423
Space-group type: Amm2 (38)
Fermi-level density of states, states/eV/atom: 0.958
Density, g cm⁻³: 8.406

=====

Here is crystalline Sm8YBi6 at its relaxed geometry from Alexandria via LeMat-Bulk. Energies are from GGA-PBE.

abc: 8.209 8.209 10.015
angles: 65.80 65.80 60.00
Fractional positions:
Sm: 0.121 0.460 0.633
Sm: 0.214 0.879 0.367
Sm: 0.786 0.121 0.633
Sm: 0.333 0.333 0.000
Sm: 0.667 0.667 0.000
Sm: 0.540 0.214 0.367
Sm: 0.879 0.540 0.367
Sm: 0.460 0.786 0.633
Bi: 0.067 0.736 0.803
Bi: 0.264 0.605 0.197
Bi: 0.395 0.067 0.803
Bi: 0.736 0.395 0.803
Bi: 0.933 0.264 0.197
Bi: 0.605 0.933 0.197
Y: 0.000 0.000 0.000

Calculated values
Volume, A^3/atom: 34.32
Formation energy from the elements, eV/atom: -0.5713
Space-group type: R-3 (148)
Fermi-level density of states, states/eV/atom: 0.962
Density, g cm⁻³: 8.210

=====

Here is crystalline SmYBi2 at its relaxed geometry from Alexandria via LeMat-Bulk. Energies are from GGA-PBE.

abc: 4.490 4.490 8.097
angles: 73.90 73.90 60.00
Fractional positions:
Y: 0.498 0.498 0.506
Sm: 0.669 0.669 0.994
Bi: 0.250 0.250 0.250
Bi: 0.083 0.083 0.750

Calculated values
Volume, A^3/atom: 33.48
Formation energy from the elements, eV/atom: -0.8030
Space-group type: R3m (160)
Fermi-level density of states, states/eV/atom: 0.130
Density, g cm⁻³: 8.149